{"formula": "TaTl2Ag", "functional": "GGA-PBE", "state": "relaxed", "formation_energy_ev_per_atom": 0.4756, "e_above_lowest_polymorph_ev_per_atom": 0.033, "spacegroup": "P2/m, No. 10", "final_energy_ev_per_atom": -4.38, "lattice": [[3.103, 0.000, 0.000], [0.000, 5.779, 0.024], [0.000, 3.548, 4.800]], "species": ["Tl", "Tl", "Ta", "Ag"], "frac_coords": [[0.000, 0.000, 0.000], [0.500, 0.500, 0.000], [0.000, 0.000, 0.500], [0.500, 0.500, 0.500]]}